! GGA-PBE ZrTaMn2N, optimized geometry; values from VASP
&SYSTEM
  ibrav = 0, nat = 5, ntyp = 4
/
ATOMIC_SPECIES
Zr 91.22 Zr.upf
Ta 180.95 Ta.upf
Mn 54.94 Mn.upf
N 14.01 N.upf
ATOMIC_POSITIONS angstrom
Zr 0.000 0.000 0.000
Ta 1.949 1.949 0.000
Mn 0.000 1.949 2.238
Mn 1.949 0.000 2.238
N 0.000 0.000 2.238
CELL_PARAMETERS angstrom
3.897 0.000 0.000
0.000 3.897 0.000
0.000 0.000 4.477
! formation energy (no corrections)	-0.98	eV per formula unit

! GGA-PBE NaBPb, optimized geometry; values from VASP
&SYSTEM
  ibrav = 0, nat = 6, ntyp = 3
/
ATOMIC_SPECIES
Na 22.99 Na.upf
B 10.81 B.upf
Pb 207.20 Pb.upf
ATOMIC_POSITIONS angstrom
Na 0.000 0.000 0.000
Na 2.173 0.000 2.630
B -0.436 0.787 2.630
B -0.436 4.543 2.630
Pb 0.837 2.665 3.657
Pb 3.509 2.665 1.603
CELL_PARAMETERS angstrom
5.219 0.000 0.000
0.000 5.330 0.000
-0.873 0.000 5.260
! formation energy	0.37	eV per atom

! GGA-PBE TiZnFeRu, optimized geometry; values from VASP
&SYSTEM
  ibrav = 0, nat = 16, ntyp = 4
/
ATOMIC_SPECIES
Ti 47.87 Ti.upf
Zn 65.41 Zn.upf
Fe 55.84 Fe.upf
Ru 101.07 Ru.upf
ATOMIC_POSITIONS angstrom
Ti 0.000 0.000 0.000
Ti 0.000 3.009 3.009
Ti 3.009 0.000 3.009
Ti 3.009 3.009 0.000
Zn 0.000 0.000 3.009
Zn 0.000 3.009 0.000
Zn 3.009 0.000 0.000
Zn 3.009 3.009 3.009
Fe 1.505 1.505 1.505
Fe 1.505 4.514 4.514
Fe 4.514 1.505 4.514
Fe 4.514 4.514 1.505
Ru 1.505 1.505 4.514
Ru 1.505 4.514 1.505
Ru 4.514 1.505 1.505
Ru 4.514 4.514 4.514
CELL_PARAMETERS angstrom
6.019 0.000 0.000
0.000 6.019 0.000
0.000 0.000 6.019
! formation energy	-0.22	eV per atom